(1)
A relaxed structure of CdPd2O, computed with PBE.

Unit cell a=4.422 b=4.422 c=4.422 alpha=60.00 beta=60.00 gamma=60.00
Last column: magnetic moment on the atom in μB.
Positions (direct):
Pd (0.750, 0.750, 0.750)  0.28
Pd (0.250, 0.250, 0.250)  0.28
Cd (0.500, 0.500, 0.500)  0.01
O (0.000, 0.000, 0.000)  0.50

Properties
- total moment (Bohr magnetons per cell) = 1.11
- ρ (g/cm³) = 9.27
- uncorrected formation energy (eV per atom) = 0.2694


(2)
A relaxed structure of Y3Zn8In, computed with PBE.

Unit cell a=5.493 b=5.493 c=9.364 alpha=72.94 beta=72.94 gamma=60.00
Positions (direct):
Zn (0.439, 0.938, 0.183)
Zn (0.431, 0.940, 0.690)
Zn (0.940, 0.940, 0.690)
Zn (0.187, 0.187, 0.439)
Zn (0.940, 0.431, 0.690)
Zn (0.938, 0.439, 0.183)
Zn (0.439, 0.439, 0.183)
Zn (0.689, 0.689, 0.934)
Y (0.503, 0.503, 0.491)
Y (0.995, 0.995, 0.015)
Y (0.377, 0.377, 0.869)
In (0.872, 0.872, 0.383)

Properties
- total moment (Bohr magnetons per cell) = 0.00
- ρ (g/cm³) = 6.53
- energy relative to the elements (eV per atom) = -0.282


(3)
A relaxed structure of AlGa2I6, computed with PBE.

Unit cell a=11.672 b=12.747 c=7.082 alpha=90.00 beta=90.00 gamma=39.64
Positions (direct):
Al (0.500, 0.000, 0.500)
Al (0.000, 0.500, 0.000)
I (0.205, 0.197, 0.246)
I (0.368, 0.932, 0.687)
I (0.795, 0.803, 0.754)
I (0.295, 0.303, 0.746)
I (0.661, 0.381, 0.255)
I (0.339, 0.619, 0.745)
I (0.868, 0.432, 0.813)
I (0.161, 0.881, 0.245)
I (0.132, 0.568, 0.187)
I (0.839, 0.119, 0.755)
I (0.632, 0.068, 0.313)
I (0.705, 0.697, 0.254)
Ga (0.000, 0.839, 0.525)
Ga (0.000, 0.161, 0.475)
Ga (0.500, 0.661, 0.025)
Ga (0.500, 0.339, 0.975)

Properties
- total moment (Bohr magnetons per cell) = 0.00
- ρ (g/cm³) = 4.58
- uncorrected formation energy (eV per atom) = -0.3578


(4)
A relaxed structure of AgP2SeO, computed with PBE.

Unit cell a=4.790 b=5.015 c=4.790 alpha=90.00 beta=90.00 gamma=90.00
Last column: magnetic moment on the atom in μB.
Positions (direct):
Ag (0.000, 0.500, 0.000)  0.03
P (0.500, 0.000, 0.000)  0.22
P (0.000, 0.000, 0.500)  0.23
O (0.500, 0.500, 0.500)  -0.07
Se (0.000, 0.000, 0.000)  0.01

Properties
- total moment (Bohr magnetons per cell) = 0.91
- ρ (g/cm³) = 3.82
- uncorrected formation energy (eV per atom) = 1.4146